Compound: TaSe2Br
Source: the Alexandria database
Functional: PBE
Structure: optimized geometry

Summary:
Energy above the most stable polymorph in this dataset (meV/atom): 459.6

Geometry as POSCAR:
```
TaSe2Br
1.0
-5.466 2.331 4.804
-7.526 1.278 -0.345
6.359 -4.178 -0.708
Br Se Ta
1 2 1
Cartesian
-1.559 -0.366 2.737
-12.766 3.546 4.382
-5.274 -0.147 1.084
-6.520 1.811 2.238
```